(1)
The following is a DFT calculation (GGA-PBE) of a relaxed structure of SrAg2.

Results
total DFT energy (no corrections) = -2.666 eV/atom

abc: 5.8808 5.8808 5.8808
angles: 60.00 60.00 60.00
Closest atoms and distances in Å follow each position.
Element x y z (fractional)
Sr: 0.2500 0.2500 0.2500  12 Ag 3.45, 4 Sr 3.60
Sr: 0.0000 0.0000 0.0000  12 Ag 3.45, 4 Sr 3.60
Ag: 0.6250 0.6250 0.1250  6 Ag 2.94
Ag: 0.6250 0.1250 0.6250  6 Ag 2.94
Ag: 0.6250 0.6250 0.6250  6 Ag 2.94
Ag: 0.1250 0.6250 0.6250  6 Ag 2.94



(2)
The following is a DFT calculation (GGA-PBE) of a relaxed structure of Sr2Ag.

Results
total DFT energy (no corrections) = -1.511 eV/atom

abc: 7.0369 7.0369 7.0369
angles: 60.00 60.00 60.00
Closest atoms and distances in Å follow each position.
Element x y z (fractional)
Sr: 0.6250 0.6250 0.6250  6 Sr 3.52
Ag: 0.2500 0.2500 0.2500  12 Sr 4.13, 4 Ag 4.31
Sr: 0.1250 0.6250 0.6250  6 Sr 3.52
Ag: 0.0000 0.0000 0.0000  12 Sr 4.13, 4 Ag 4.31
Sr: 0.6250 0.1250 0.6250  6 Sr 3.52
Sr: 0.6250 0.6250 0.1250  6 Sr 3.52



(3)
The following is a DFT calculation (GGA-PBE) of a relaxed structure of Sr2Ag3.

Results
total DFT energy (no corrections) = -2.653 eV/atom

abc: 6.0334 6.0334 4.5023
angles: 111.42 111.42 67.30
Closest atoms and distances in Å follow each position.
Element x y z (fractional)
Sr: 0.9129 0.9129 0.4108  8 Ag 3.22-3.46
Ag: 0.4853 0.9141 0.6999  3 Ag 2.87-2.95
Sr: 0.4867 0.4867 0.9887  8 Ag 3.22-3.45
Ag: 0.2010 0.2010 0.2007  4 Ag 2.95
Ag: 0.9141 0.4853 0.6999  3 Ag 2.87-2.95



(4)
The following is a DFT calculation (GGA-PBE) of a relaxed structure of SrAg.

Results
total DFT energy (no corrections) = -2.579 eV/atom

abc: 41.1558 4.7915 6.3536
angles: 90.00 90.00 90.00
Closest atoms and distances in Å follow each position.
Element x y z (fractional)
Ag: 0.0071 0.7500 0.8750  2 Ag 2.93
Sr: 0.8360 0.7500 0.3728  7 Ag 3.34-3.44
Sr: 0.6640 0.2500 0.8728  7 Ag 3.34-3.44
Ag: 0.9929 0.2500 0.1250  2 Ag 2.93
Sr: 0.4360 0.7500 0.3678  7 Ag 3.35-3.43
Ag: 0.4072 0.7500 0.8744  2 Ag 2.94
Ag: 0.9072 0.7500 0.6256  2 Ag 2.94
Ag: 0.8070 0.7500 0.8652  2 Ag 2.94
Ag: 0.7928 0.2500 0.6145  2 Ag 2.94
Ag: 0.3070 0.7500 0.6348  2 Ag 2.94
Sr: 0.7641 0.2500 0.1080  7 Ag 3.35-3.43
Sr: 0.1360 0.7500 0.1327  7 Ag 3.34-3.44
Sr: 0.3360 0.7500 0.1272  7 Ag 3.34-3.44
Sr: 0.8640 0.2500 0.8673  7 Ag 3.34-3.44
Sr: 0.5640 0.2500 0.6322  7 Ag 3.35-3.43
Sr: 0.9360 0.7500 0.1322  7 Ag 3.35-3.43
Sr: 0.9641 0.2500 0.6320  7 Ag 3.35-3.43
Ag: 0.6930 0.2500 0.3652  2 Ag 2.94
Ag: 0.2072 0.7500 0.3855  2 Ag 2.94
Sr: 0.3640 0.2500 0.6327  7 Ag 3.34-3.44
Sr: 0.4641 0.2500 0.8680  7 Ag 3.35-3.43
Ag: 0.6071 0.7500 0.8748  2 Ag 2.94
Ag: 0.7072 0.7500 0.1145  2 Ag 2.94
Ag: 0.1930 0.2500 0.1348  2 Ag 2.94
Ag: 0.8929 0.2500 0.3748  2 Ag 2.94
Sr: 0.6360 0.7500 0.3673  7 Ag 3.34-3.44
Sr: 0.0640 0.2500 0.8678  7 Ag 3.35-3.43
Sr: 0.2641 0.2500 0.3920  7 Ag 3.35-3.43
Ag: 0.3929 0.2500 0.1252  2 Ag 2.94
Ag: 0.2928 0.2500 0.8855  2 Ag 2.94
Ag: 0.0928 0.2500 0.3744  2 Ag 2.94
Ag: 0.1071 0.7500 0.6252  2 Ag 2.94
Sr: 0.0359 0.7500 0.3680  7 Ag 3.35-3.43
Ag: 0.5071 0.7500 0.6250  2 Ag 2.93
Sr: 0.1640 0.2500 0.6272  7 Ag 3.34-3.44
Sr: 0.7359 0.7500 0.6080  7 Ag 3.35-3.43
Ag: 0.4929 0.2500 0.3750  2 Ag 2.93
Ag: 0.5928 0.2500 0.1256  2 Ag 2.94
Sr: 0.2359 0.7500 0.8920  7 Ag 3.35-3.43
Sr: 0.5359 0.7500 0.1320  7 Ag 3.35-3.43



(5)
The following is a DFT calculation (GGA-PBE) of a relaxed structure of SrTbAgTe3.

Results
total DFT energy (no corrections) = -4.310 eV/atom

abc: 8.5498 4.3714 10.5772
angles: 90.00 106.21 90.00
Closest atoms and distances in Å follow each position.
Element x y z (fractional)
Sr: 0.7657 0.7500 0.2145  6 Te 3.34-3.37
Te: 0.0653 0.2500 0.3523  1 Ag 2.82, 2 Tb 3.08
Tb: 0.6882 0.2500 0.6664  6 Te 3.08-3.12
Te: 0.9347 0.7500 0.6477  1 Ag 2.82, 2 Tb 3.08
Te: 0.5747 0.2500 0.3589  3 Tb 3.09-3.12, 2 Sr 3.34
Tb: 0.3118 0.7500 0.3336  6 Te 3.08-3.12
Ag: 0.0837 0.2500 0.0899  4 Te 2.82-3.01, 2 Ag 2.99
Te: 0.7211 0.2500 0.9639  3 Ag 2.90-3.01, 1 Tb 3.08
Ag: 0.9163 0.7500 0.9101  4 Te 2.82-3.01, 2 Ag 2.99
Te: 0.4253 0.7500 0.6411  3 Tb 3.09-3.12, 2 Sr 3.34
Sr: 0.2343 0.2500 0.7855  6 Te 3.34-3.37
Te: 0.2789 0.7500 0.0361  3 Ag 2.90-3.01, 1 Tb 3.08



(6)
The following is a DFT calculation (GGA-PBE) of a relaxed structure of SrTbAgTe3.

Results
total DFT energy (no corrections) = -4.277 eV/atom

abc: 10.0831 10.0831 9.0506
angles: 101.85 101.85 25.29
Closest atoms and distances in Å follow each position.
Element x y z (fractional)
Sr: 0.1278 0.1278 0.5742  7 Te 3.31-3.60
Te: 0.5000 0.5000 0.5000  2 Ag 2.88
Te: 0.6732 0.6732 0.8580  3 Tb 3.08-3.14, 2 Sr 3.36
Te: 0.3149 0.3149 0.6625  1 Ag 2.85, 2 Tb 3.10
Ag: 0.4602 0.4602 0.7890  4 Te 2.85-2.92
Te: 0.3268 0.3268 0.1420  3 Tb 3.08-3.14, 2 Sr 3.36
Ag: 0.5398 0.5398 0.2110  4 Te 2.85-2.92
Sr: 0.8722 0.8722 0.4258  7 Te 3.31-3.60
Te: 0.0000 0.0000 0.0000  4 Ag 2.92, 2 Tb 3.16
Te: 0.6851 0.6851 0.3375  1 Ag 2.85, 2 Tb 3.10
Tb: 0.8360 0.8360 0.9092  6 Te 3.08-3.16
Tb: 0.1640 0.1640 0.0908  6 Te 3.08-3.16



(7)
The following is a DFT calculation (GGA-PBE) of a relaxed structure of SrTcAg2.

Results
total DFT energy (no corrections) = -3.773 eV/atom

abc: 4.9392 4.9392 4.9392
angles: 60.00 60.00 60.00
Closest atoms and distances in Å follow each position.
Element x y z (fractional)
Ag: 0.5000 0.5000 0.5000  4 Ag 3.02, 4 Sr 3.02
Tc: 0.0000 0.0000 0.0000  4 Sr 3.02, 4 Ag 3.02
Sr: 0.2500 0.2500 0.2500  4 Tc 3.02, 4 Ag 3.02
Ag: 0.7500 0.7500 0.7500  4 Tc 3.02, 4 Ag 3.02



(8)
The following is a DFT calculation (GGA-PBE) of a relaxed structure of Sr2TlAg2.

Results
total DFT energy (no corrections) = -2.272 eV/atom

abc: 7.0855 7.0855 7.0855
angles: 136.70 136.70 62.89
Closest atoms and distances in Å follow each position.
Element x y z (fractional)
Ag: 0.6088 0.6088 0.0000  1 Ag 2.63
Tl: 0.0000 0.0000 0.0000  8 Ag 3.92, 8 Sr 4.00
Sr: 0.7500 0.2500 0.5000  4 Ag 3.12
Sr: 0.2500 0.7500 0.5000  4 Ag 3.12
Ag: 0.3912 0.3912 0.0000  1 Ag 2.63



(9)
The following is a DFT calculation (GGA-PBE) of a relaxed structure of SrTl2Ag2.

Results
total DFT energy (no corrections) = -2.567 eV/atom

abc: 4.6872 4.6872 7.1052
angles: 109.26 109.26 90.00
Closest atoms and distances in Å follow each position.
Element x y z (fractional)
Tl: 0.7500 0.2500 0.5000  4 Ag 2.96
Ag: 0.6067 0.6067 0.2134  1 Ag 2.68, 4 Tl 2.96
Sr: 0.0000 0.0000 0.0000  8 Ag 3.58, 8 Tl 3.92
Tl: 0.2500 0.7500 0.5000  4 Ag 2.96
Ag: 0.3933 0.3933 0.7866  1 Ag 2.68, 4 Tl 2.96



(10)
The following is a DFT calculation (GGA-PBE) of a relaxed structure of SrTl2Ag.

Results
total DFT energy (no corrections) = -2.496 eV/atom

abc: 5.3729 5.3729 5.3729
angles: 60.00 60.00 60.00
Closest atoms and distances in Å follow each position.
Element x y z (fractional)
Tl: 0.2500 0.2500 0.2500  4 Sr 3.29, 4 Tl 3.29
Tl: 0.5000 0.5000 0.5000  4 Tl 3.29, 4 Ag 3.29
Ag: 0.7500 0.7500 0.7500  4 Tl 3.29, 4 Sr 3.29
Sr: 0.0000 0.0000 0.0000  4 Tl 3.29, 4 Ag 3.29



(11)
The following is a DFT calculation (GGA-PBE) of a relaxed structure of Sr2TlAg2.

Results
total DFT energy (no corrections) = -2.418 eV/atom

abc: 4.6134 4.6134 7.5659
angles: 94.37 94.37 107.01
Closest atoms and distances in Å follow each position.
Element x y z (fractional)
Ag: 0.1807 0.8202 0.5003  3 Ag 2.67-2.93
Ag: 0.8202 0.1807 0.5003  3 Ag 2.67-2.93
Sr: 0.4703 0.4703 0.7538  4 Ag 3.07-3.29, 2 Tl 3.24-3.37
Sr: 0.5290 0.5290 0.2464  4 Ag 3.07-3.30, 2 Tl 3.25-3.38
Tl: 0.9998 0.9998 0.9992  4 Sr 3.24-3.38



(12)
The following is a DFT calculation (GGA-PBE) of a relaxed structure of SrUAg.

Results
E above lowest polymorph = 0.000 eV/f.u.

abc: 5.2425 5.2425 5.2425
angles: 60.00 60.00 60.00
Closest atoms and distances in Å follow each position.
Element x y z (fractional)
Ag: 0.0000 0.0000 0.0000  4 U 3.21, 4 Sr 3.21
Sr: 0.2500 0.2500 0.2500  4 Ag 3.21
U: 0.7500 0.7500 0.7500  4 Ag 3.21



Please write out number 11 again, unchanged.
The following is a DFT calculation (GGA-PBE) of a relaxed structure of Sr2TlAg2.

Results
total DFT energy (no corrections) = -2.418 eV/atom

abc: 4.6134 4.6134 7.5659
angles: 94.37 94.37 107.01
Closest atoms and distances in Å follow each position.
Element x y z (fractional)
Ag: 0.1807 0.8202 0.5003  3 Ag 2.67-2.93
Ag: 0.8202 0.1807 0.5003  3 Ag 2.67-2.93
Sr: 0.4703 0.4703 0.7538  4 Ag 3.07-3.29, 2 Tl 3.24-3.37
Sr: 0.5290 0.5290 0.2464  4 Ag 3.07-3.30, 2 Tl 3.25-3.38
Tl: 0.9998 0.9998 0.9992  4 Sr 3.24-3.38